No. 1
The following is a SCAN calculation of a PBEsol-optimized structure of LiRuBr4, from Alexandria via LeMat-Bulk.

The structure in CIF format:
```
data_LiRuBr4
_chemical_formula_sum 'Li4 Ru4 Br16'
_cell_length_a 8.6561
_cell_length_b 8.6561
_cell_length_c 8.6561
_cell_angle_alpha 90.00
_cell_angle_beta 90.00
_cell_angle_gamma 90.00
_space_group_name_H-M_alt 'F -4 3 m'
_space_group_IT_number 216
_space_group_name_Hall 'F -4 2 3'
loop_
_atom_site_label
_atom_site_fract_x
_atom_site_fract_y
_atom_site_fract_z
Li1 0.0000 0.0000 0.0000
Ru1 0.2500 0.2500 0.2500
Br1 0.1243 0.1243 0.6243
```

Summary:
- raw total energy (eV/atom) = -18.352
- Fermi-level density of states (states/eV per atom) = 1.463
- total magnetic moment (Bohr magnetons per cell) = 5.10
- ΔE_f (raw) (meV per atom) = 824.1
- volume (Å³ per atom) = 27.024

No. 2
The following is a SCAN calculation of a PBEsol-optimized structure of LiYRuBr2, from Alexandria via LeMat-Bulk.

The structure in CIF format:
```
data_LiYRuBr2
_chemical_formula_sum 'Li1 Y1 Ru1 Br2'
_cell_length_a 4.9174
_cell_length_b 4.9174
_cell_length_c 4.3434
_cell_angle_alpha 90.00
_cell_angle_beta 90.00
_cell_angle_gamma 90.00
_space_group_name_H-M_alt 'P 4/m m m'
_space_group_IT_number 123
_space_group_name_Hall '-P 4 2'
loop_
_atom_site_label
_atom_site_fract_x
_atom_site_fract_y
_atom_site_fract_z
Li1 0.0000 0.0000 0.0000
Y1 0.5000 0.5000 0.0000
Ru1 0.0000 0.0000 0.5000
Br1 0.0000 0.5000 0.5000
```

Summary:
- raw total energy (eV/atom) = -20.699
- Fermi-level density of states (states/eV per atom) = 0.550
- total magnetic moment (Bohr magnetons per cell) = 0.00
- ΔE_f (raw) (meV per atom) = 96.7
- volume (Å³ per atom) = 21.006

No. 3
The following is a SCAN calculation of a PBEsol-optimized structure of LiSbBr, from Alexandria via LeMat-Bulk.

The structure in CIF format:
```
data_LiSbBr
_chemical_formula_sum 'Li4 Sb4 Br4'
_cell_length_a 7.1357
_cell_length_b 7.1357
_cell_length_c 7.1357
_cell_angle_alpha 90.00
_cell_angle_beta 90.00
_cell_angle_gamma 90.00
_space_group_name_H-M_alt 'F -4 3 m'
_space_group_IT_number 216
_space_group_name_Hall 'F -4 2 3'
loop_
_atom_site_label
_atom_site_fract_x
_atom_site_fract_y
_atom_site_fract_z
Li1 0.0000 0.0000 0.0000
Sb1 0.2500 0.2500 0.7500
Br1 0.0000 0.0000 0.5000
```

Summary:
- raw total energy (eV/atom) = -19.491
- Fermi-level density of states (states/eV per atom) = 1.063
- total magnetic moment (Bohr magnetons per cell) = 4.31
- ΔE_f (raw) (meV per atom) = 212.4
- volume (Å³ per atom) = 30.278

No. 4
The following is a SCAN calculation of a PBEsol-optimized structure of LiSbBr2, from Alexandria via LeMat-Bulk.

The structure in CIF format:
```
data_LiSbBr2
_chemical_formula_sum 'Li1 Sb1 Br2'
_cell_length_a 5.2647
_cell_length_b 5.2647
_cell_length_c 3.4833
_cell_angle_alpha 90.00
_cell_angle_beta 90.00
_cell_angle_gamma 90.00
_space_group_name_H-M_alt 'P 4/m m m'
_space_group_IT_number 123
_space_group_name_Hall '-P 4 2'
loop_
_atom_site_label
_atom_site_fract_x
_atom_site_fract_y
_atom_site_fract_z
Li1 0.0000 0.0000 0.0000
Sb1 0.5000 0.5000 0.0000
Br1 0.0000 0.5000 0.5000
```

Summary:
- raw total energy (eV/atom) = -20.068
- Fermi-level density of states (states/eV per atom) = 0.421
- total magnetic moment (Bohr magnetons per cell) = 0.00
- ΔE_f (raw) (meV per atom) = -425.7
- volume (Å³ per atom) = 24.137

No. 5
The following is a SCAN calculation of a PBEsol-optimized structure of Li4SbBr, from Alexandria via LeMat-Bulk.

The structure in CIF format:
```
data_Li4SbBr
_chemical_formula_sum 'Li16 Sb4 Br4'
_cell_length_a 7.7363
_cell_length_b 7.7363
_cell_length_c 7.7363
_cell_angle_alpha 90.00
_cell_angle_beta 90.00
_cell_angle_gamma 90.00
_space_group_name_H-M_alt 'F -4 3 m'
_space_group_IT_number 216
_space_group_name_Hall 'F -4 2 3'
loop_
_atom_site_label
_atom_site_fract_x
_atom_site_fract_y
_atom_site_fract_z
Li1 0.1210 0.1210 0.3790
Sb1 0.2500 0.2500 0.7500
Br1 0.0000 0.0000 0.0000
```

Summary:
- raw total energy (eV/atom) = -11.307
- Fermi-level density of states (states/eV per atom) = 0.411
- total magnetic moment (Bohr magnetons per cell) = 0.10
- ΔE_f (raw) (meV per atom) = -260.3
- volume (Å³ per atom) = 19.292

No. 6
The following is a SCAN calculation of a PBEsol-optimized structure of LiSbSe2Br, from Alexandria via LeMat-Bulk.

The structure in CIF format:
```
data_LiSbSe2Br
_chemical_formula_sum 'Li1 Sb1 Se2 Br1'
_cell_length_a 4.7387
_cell_length_b 4.7387
_cell_length_c 4.7132
_cell_angle_alpha 90.00
_cell_angle_beta 90.00
_cell_angle_gamma 90.00
_space_group_name_H-M_alt 'P 4/m m m'
_space_group_IT_number 123
_space_group_name_Hall '-P 4 2'
loop_
_atom_site_label
_atom_site_fract_x
_atom_site_fract_y
_atom_site_fract_z
Li1 0.0000 0.0000 0.0000
Sb1 0.5000 0.5000 0.5000
Se1 0.0000 0.5000 0.0000
Br1 0.0000 0.0000 0.5000
```

Summary:
- raw total energy (eV/atom) = -19.826
- Fermi-level density of states (states/eV per atom) = 0.684
- total magnetic moment (Bohr magnetons per cell) = 0.00
- ΔE_f (raw) (meV per atom) = 27.0
- volume (Å³ per atom) = 21.167

No. 7
The following is a SCAN calculation of a PBEsol-optimized structure of LiSbTe2Br, from Alexandria via LeMat-Bulk.

The structure in CIF format:
```
data_LiSbTe2Br
_chemical_formula_sum 'Li1 Sb1 Te2 Br1'
_cell_length_a 5.5575
_cell_length_b 5.5575
_cell_length_c 5.5285
_cell_angle_alpha 90.00
_cell_angle_beta 90.00
_cell_angle_gamma 90.00
_space_group_name_H-M_alt 'P 4/m m m'
_space_group_IT_number 123
_space_group_name_Hall '-P 4 2'
loop_
_atom_site_label
_atom_site_fract_x
_atom_site_fract_y
_atom_site_fract_z
Li1 0.0000 0.0000 0.0000
Sb1 0.5000 0.5000 0.0000
Te1 0.0000 0.5000 0.5000
Br1 0.5000 0.5000 0.5000
```

Summary:
- raw total energy (eV/atom) = -26.152
- Fermi-level density of states (states/eV per atom) = 0.971
- total magnetic moment (Bohr magnetons per cell) = 1.07
- ΔE_f (raw) (meV per atom) = 570.8
- volume (Å³ per atom) = 34.151

No. 8
The following is a SCAN calculation of a PBEsol-optimized structure of LiSb2TeBr, from Alexandria via LeMat-Bulk.

The structure in CIF format:
```
data_LiSb2TeBr
_chemical_formula_sum 'Li1 Sb2 Te1 Br1'
_cell_length_a 5.5232
_cell_length_b 5.5232
_cell_length_c 5.5469
_cell_angle_alpha 90.00
_cell_angle_beta 90.00
_cell_angle_gamma 90.00
_space_group_name_H-M_alt 'P 4/m m m'
_space_group_IT_number 123
_space_group_name_Hall '-P 4 2'
loop_
_atom_site_label
_atom_site_fract_x
_atom_site_fract_y
_atom_site_fract_z
Li1 0.0000 0.0000 0.0000
Sb1 0.0000 0.5000 0.5000
Te1 0.5000 0.5000 0.0000
Br1 0.5000 0.5000 0.5000
```

Summary:
- raw total energy (eV/atom) = -26.013
- Fermi-level density of states (states/eV per atom) = 1.441
- total magnetic moment (Bohr magnetons per cell) = 0.01
- ΔE_f (raw) (meV per atom) = 711.3
- volume (Å³ per atom) = 33.843